Below is SrFeAg2 after structural relaxation, with properties calculated at the PBE-GGA level.

Cell lengths 5.025, 5.025, 5.025 Å; angles 60.00, 60.00, 60.00 degrees
Fractional coordinates of all 4 atoms:
1 Sr 0.000 0.000 0.000
2 Fe 0.500 0.500 0.500
3 Ag 0.250 0.250 0.250
4 Ag 0.750 0.750 0.750

Output
magnetization	3.0	μB per formula unit
space-group type	Fm-3m, No. 225
DFT formation energy	1.5	eV/f.u.
energy above the lowest structure with this stoichiometry	186	meV per atom